Entry from Alexandria: an optimized crystal structure of CaThRh2 (GGA-PBE).

Properties
Energy of formation = -2.59 eV/f.u.
D(E_F) = 3.7 states/eV/f.u.

Cell lengths 4.9423, 4.9423, 4.9423 Å; angles 60.00, 60.00, 60.00 degrees
Sites, in units of the cell vectors:
1 Ca 0.5000 0.5000 0.5000
2 Rh 0.2500 0.2500 0.2500
3 Rh 0.7500 0.7500 0.7500
4 Th 0.0000 0.0000 0.0000